# 1
P2PbSe: relaxed, GGA-PBE.

## Properties
- energy relative to the elements, uncorrected (eV/f.u.) = 0.98
- E above lowest polymorph (eV/f.u.) = 1.054
- DOS(E_F) (states/eV/f.u.) = 1.41
- crystal system = tetragonal

The structure in POSCAR format:
```
P2PbSe
1.0
3.3513 0.0000 0.0000
0.0000 3.3513 0.0000
0.0000 0.0000 8.6796
P Pb Se
2 1 1
Direct
0.0000 0.0000 0.1053 P
0.5000 0.5000 0.1711 P
0.0000 0.0000 0.5131 Pb
0.5000 0.5000 0.7105 Se
```

# 2
CsNa: relaxed, GGA-PBE.

## Properties
- energy (eV/atom) = -1.05
- DOS(E_F) (states/eV/f.u.) = 1.54
- crystal system = hexagonal

The structure in POSCAR format:
```
CsNa
1.0
-0.4728 -5.3122 -11.1910
-6.3094 -4.9209 9.4688
-5.4340 3.8722 -1.6085
Cs Na
6 6
Direct
0.1822 0.3644 0.2500 Cs
0.8178 0.1822 0.7500 Cs
0.6356 0.8178 0.2500 Cs
0.8178 0.6356 0.7500 Cs
0.1822 0.8178 0.2500 Cs
0.3644 0.1822 0.7500 Cs
0.5654 0.1308 0.2500 Na
0.4346 0.5654 0.7500 Na
0.8692 0.4346 0.2500 Na
0.4346 0.8692 0.7500 Na
0.5654 0.4346 0.2500 Na
0.1308 0.5654 0.7500 Na
```